Record 1
# BeZn2Hg PBE-GGA optimized geometry
data_BeZn2Hg
_chemical_formula_sum 'Be2 Zn4 Hg2'
_symmetry_space_group_name_H-M 'C 1 m 1'
_symmetry_Int_Tables_number 8
_symmetry_space_group_name_Hall 'C -2y'
_cell_length_a 8.3888
_cell_length_b 3.3725
_cell_length_c 4.6428
_cell_angle_alpha 90.00
_cell_angle_beta 100.02
_cell_angle_gamma 90.00
loop_
_atom_site_label
_atom_site_fract_x
_atom_site_fract_y
_atom_site_fract_z
_atom_site_occupancy
Be1 0.0000 0.0000 0.0000 1
Zn1 0.2365 0.5000 0.1890 1
Zn2 0.4774 0.0000 0.3988 1
Hg1 0.2380 0.0000 0.7160 1
# total magnetization: 0.00 Bohr magnetons per cell
# DFT formation energy: 0.28 eV/atom



Record 2
# AgIr4Rh PBE-GGA optimized geometry
data_AgIr4Rh
_chemical_formula_sum 'Ag4 Ir16 Rh4'
_symmetry_space_group_name_H-M 'F -4 3 m'
_symmetry_Int_Tables_number 216
_symmetry_space_group_name_Hall 'F -4 2 3'
_cell_length_a 7.3157
_cell_length_b 7.3157
_cell_length_c 7.3157
_cell_angle_alpha 90.00
_cell_angle_beta 90.00
_cell_angle_gamma 90.00
loop_
_atom_site_label
_atom_site_fract_x
_atom_site_fract_y
_atom_site_fract_z
_atom_site_occupancy
Ag1 0.0000 0.0000 0.0000 1
Ir1 0.1249 0.1249 0.3751 1
Rh1 0.2500 0.2500 0.7500 1
# total magnetization: 6.52 Bohr magnetons per cell
# DFT formation energy: 0.61 eV/atom



Record 3
# PuBCl PBE-GGA optimized geometry
data_PuBCl
_chemical_formula_sum 'Pu4 B4 Cl4'
_symmetry_space_group_name_H-M 'C 1 2/m 1'
_symmetry_Int_Tables_number 12
_symmetry_space_group_name_Hall '-C 2y'
_cell_length_a 5.9143
_cell_length_b 3.4157
_cell_length_c 11.5491
_cell_angle_alpha 90.00
_cell_angle_beta 98.91
_cell_angle_gamma 90.00
loop_
_atom_site_label
_atom_site_fract_x
_atom_site_fract_y
_atom_site_fract_z
_atom_site_occupancy
Pu1 0.0499 0.0000 0.1653 1
B1 0.1682 0.5000 0.0053 1
Cl1 0.2316 0.0000 0.6632 1
# total magnetization: 20.81 Bohr magnetons per cell
# ΔE_f (raw): -90 kJ/mol of atoms



Record 4
# SmTmMg2 PBE-GGA optimized geometry
data_SmTmMg2
_chemical_formula_sum 'Sm1 Tm1 Mg2'
_symmetry_space_group_name_H-M 'P 4/m m m'
_symmetry_Int_Tables_number 123
_symmetry_space_group_name_Hall '-P 4 2'
_cell_length_a 5.3401
_cell_length_b 5.3401
_cell_length_c 3.8417
_cell_angle_alpha 90.00
_cell_angle_beta 90.00
_cell_angle_gamma 90.00
loop_
_atom_site_label
_atom_site_fract_x
_atom_site_fract_y
_atom_site_fract_z
_atom_site_occupancy
Sm1 0.0000 0.0000 0.0000 1
Tm1 0.5000 0.5000 0.0000 1
Mg1 0.0000 0.5000 0.5000 1
# total magnetization: 0.00 Bohr magnetons per cell
# DFT formation energy: -0.08 eV/atom



Record 5
# Ac7PmRu3 PBE-GGA optimized geometry
data_Ac7PmRu3
_chemical_formula_sum 'Ac7 Pm1 Ru3'
_symmetry_space_group_name_H-M 'P 3 m 1'
_symmetry_Int_Tables_number 156
_symmetry_space_group_name_Hall 'P 3 -2"'
_cell_length_a 8.4592
_cell_length_b 8.4592
_cell_length_c 6.7889
_cell_angle_alpha 90.00
_cell_angle_beta 90.00
_cell_angle_gamma 120.00
loop_
_atom_site_label
_atom_site_fract_x
_atom_site_fract_y
_atom_site_fract_z
_atom_site_occupancy
Ac1 0.0000 0.0000 0.0000 1
Ac2 0.1644 0.3289 0.5308 1
Ac3 0.5040 0.0080 0.0106 1
Pm1 0.6667 0.3333 0.5479 1
Ru1 0.3364 0.1682 0.7668 1
# total magnetization: 0.00 Bohr magnetons per cell
# DFT formation energy: -0.16 eV/atom



Record 6
# TbBeGa4Cu2 PBE-GGA optimized geometry
data_TbBeGa4Cu2
_chemical_formula_sum 'Tb3 Be3 Ga12 Cu6'
_symmetry_space_group_name_H-M 'R -3 m'
_symmetry_Int_Tables_number 166
_symmetry_space_group_name_Hall '-R 3 2"'
_cell_length_a 4.2032
_cell_length_b 4.2032
_cell_length_c 25.3789
_cell_angle_alpha 90.00
_cell_angle_beta 90.00
_cell_angle_gamma 120.00
loop_
_atom_site_label
_atom_site_fract_x
_atom_site_fract_y
_atom_site_fract_z
_atom_site_occupancy
Tb1 0.0000 0.0000 0.0000 1
Be1 0.0000 0.0000 0.5000 1
Ga1 0.0000 0.0000 0.1298 1
Ga2 0.0000 0.0000 0.4012 1
Cu1 0.0000 0.0000 0.2368 1
# total magnetization: 0.00 Bohr magnetons per cell
# DFT formation energy: -0.16 eV/atom



Record 7
# YBi4Pd15 PBE-GGA optimized geometry
data_YBi4Pd15
_chemical_formula_sum 'Y1 Bi4 Pd15'
_symmetry_space_group_name_H-M 'P 4/m m m'
_symmetry_Int_Tables_number 123
_symmetry_space_group_name_Hall '-P 4 2'
_cell_length_a 4.1428
_cell_length_b 4.1428
_cell_length_c 20.6361
_cell_angle_alpha 90.00
_cell_angle_beta 90.00
_cell_angle_gamma 90.00
loop_
_atom_site_label
_atom_site_fract_x
_atom_site_fract_y
_atom_site_fract_z
_atom_site_occupancy
Y1 0.0000 0.0000 0.0000 1
Bi1 0.0000 0.0000 0.1982 1
Bi2 0.0000 0.0000 0.3996 1
Pd1 0.0000 0.5000 0.1000 1
Pd2 0.0000 0.5000 0.2997 1
Pd3 0.0000 0.5000 0.5000 1
Pd4 0.5000 0.5000 0.0000 1
Pd5 0.5000 0.5000 0.2019 1
Pd6 0.5000 0.5000 0.3998 1
# total magnetization: 0.00 Bohr magnetons per cell
# DFT formation energy: -0.36 eV/atom



Record 8
# VCu2Pd4 PBE-GGA optimized geometry
data_VCu2Pd4
_chemical_formula_sum 'V2 Cu4 Pd8'
_symmetry_space_group_name_H-M 'P 1 21/m 1'
_symmetry_Int_Tables_number 11
_symmetry_space_group_name_Hall '-P 2yb'
_cell_length_a 6.3563
_cell_length_b 5.1445
_cell_length_c 7.1018
_cell_angle_alpha 90.00
_cell_angle_beta 116.34
_cell_angle_gamma 90.00
loop_
_atom_site_label
_atom_site_fract_x
_atom_site_fract_y
_atom_site_fract_z
_atom_site_occupancy
V1 0.0731 0.2500 0.3358 1
Cu1 0.0164 0.2500 0.9503 1
Cu2 0.2254 0.7500 0.5056 1
Pd1 0.2188 0.2500 0.7123 1
Pd2 0.3429 0.7500 0.9107 1
Pd3 0.3773 0.0011 0.2706 1
# total magnetization: 2.14 Bohr magnetons per cell
# DFT formation energy: 0.01 eV/atom



Record 9
# NaHf2NiPt PBE-GGA optimized geometry
data_NaHf2NiPt
_chemical_formula_sum 'Na1 Hf2 Ni1 Pt1'
_symmetry_space_group_name_H-M 'P 4/m m m'
_symmetry_Int_Tables_number 123
_symmetry_space_group_name_Hall '-P 4 2'
_cell_length_a 5.0232
_cell_length_b 5.0232
_cell_length_c 4.8600
_cell_angle_alpha 90.00
_cell_angle_beta 90.00
_cell_angle_gamma 90.00
loop_
_atom_site_label
_atom_site_fract_x
_atom_site_fract_y
_atom_site_fract_z
_atom_site_occupancy
Na1 0.0000 0.0000 0.0000 1
Hf1 0.0000 0.5000 0.5000 1
Ni1 0.5000 0.5000 0.0000 1
Pt1 0.5000 0.5000 0.5000 1
# total magnetization: 0.00 Bohr magnetons per cell
# DFT formation energy: 0.45 eV/atom



Record 10
# EuRe6 PBE-GGA optimized geometry
data_EuRe6
_chemical_formula_sum 'Eu2 Re12'
_symmetry_space_group_name_H-M 'I m -3 m'
_symmetry_Int_Tables_number 229
_symmetry_space_group_name_Hall '-I 4 2 3'
_cell_length_a 6.9327
_cell_length_b 6.9327
_cell_length_c 6.9327
_cell_angle_alpha 90.00
_cell_angle_beta 90.00
_cell_angle_gamma 90.00
loop_
_atom_site_label
_atom_site_fract_x
_atom_site_fract_y
_atom_site_fract_z
_atom_site_occupancy
Eu1 0.0000 0.0000 0.0000 1
Re1 0.0000 0.2500 0.5000 1
# total magnetization: 13.86 Bohr magnetons per cell
# DFT formation energy: 0.99 eV/atom



Record 11
# BaPtAu3 PBE-GGA optimized geometry
data_BaPtAu3
_chemical_formula_sum 'Ba1 Pt1 Au3'
_symmetry_space_group_name_H-M 'P m -3 m'
_symmetry_Int_Tables_number 221
_symmetry_space_group_name_Hall '-P 4 2 3'
_cell_length_a 5.1942
_cell_length_b 5.1942
_cell_length_c 5.1942
_cell_angle_alpha 90.00
_cell_angle_beta 90.00
_cell_angle_gamma 90.00
loop_
_atom_site_label
_atom_site_fract_x
_atom_site_fract_y
_atom_site_fract_z
_atom_site_occupancy
Ba1 0.0000 0.0000 0.0000 1
Pt1 0.5000 0.5000 0.5000 1
Au1 0.0000 0.5000 0.5000 1
# total magnetization: 0.00 Bohr magnetons per cell
# DFT formation energy: -0.31 eV/atom



Record 12
# Y6CdC3 PBE-GGA optimized geometry
data_Y6CdC3
_chemical_formula_sum 'Y12 Cd2 C6'
_symmetry_space_group_name_H-M 'P 1 21/m 1'
_symmetry_Int_Tables_number 11
_symmetry_space_group_name_Hall '-P 2yb'
_cell_length_a 11.0425
_cell_length_b 3.6104
_cell_length_c 11.4281
_cell_angle_alpha 90.00
_cell_angle_beta 101.86
_cell_angle_gamma 90.00
loop_
_atom_site_label
_atom_site_fract_x
_atom_site_fract_y
_atom_site_fract_z
_atom_site_occupancy
Y1 0.0297 0.2500 0.1313 1
Y2 0.1133 0.7500 0.4527 1
Y3 0.1663 0.2500 0.7417 1
Y4 0.2717 0.7500 0.0162 1
Y5 0.3079 0.2500 0.3046 1
Y6 0.4247 0.2500 0.5943 1
Cd1 0.4709 0.7500 0.8493 1
C1 0.0250 0.7500 0.6474 1
C2 0.1258 0.2500 0.9437 1
C3 0.3566 0.7500 0.4487 1
# total magnetization: 0.77 Bohr magnetons per cell
# DFT formation energy: -0.22 eV/atom



no.,N(E_F) (states/eV per cell)
1,1.72
2,53.04
3,28.12
4,4.33
5,10.34
6,7.64
7,10.23
8,10.76
9,4.64
10,30.02
11,1.58
12,14.80